DFT (GGA-PBE) results for an optimized crystal structure of PmPa2Ga.

a = 5.057 Å, b = 4.400 Å, c = 4.400 Å
α = 90.00°, β = 90.00°, γ = 90.00°
Element x y z (fractional)
1 Pa 0.000 0.000 0.500
2 Pa 0.000 0.500 0.000
3 Ga 0.500 0.000 0.000
4 Pm 0.500 0.500 0.500

Computed properties:
Symmetry   P4/mmm (123)
Excess energy over the best structure of this formula in the dataset   0 meV per atom
ΔE_f   -33 meV per atom
DOS(E_F)   7.34 states/eV/cell